(1)
Compound: CdPd
Source: Alexandria via LeMat-Bulk
Functional: GGA-PBE
Structure: relaxed

Properties
DOS(E_F) = 3.4 states/eV per cell
E_tot = -3.30 eV/atom
calculated formation energy = -0.246 eV/atom

Cell: 8.9055 8.9055 3.7948 Å, 90.00 90.00 90.00°
Atoms (fractional coordinates):
Cd 0.1620 0.1620 0.0000
Cd 0.1620 0.8380 0.0000
Cd 0.3380 0.3380 0.5000
Cd 0.3380 0.6620 0.5000
Cd 0.6620 0.3380 0.5000
Cd 0.6620 0.6620 0.5000
Cd 0.8380 0.1620 0.0000
Cd 0.8380 0.8380 0.0000
Pd 0.0000 0.3340 0.5000
Pd 0.0000 0.6660 0.5000
Pd 0.1660 0.5000 0.0000
Pd 0.3340 0.0000 0.5000
Pd 0.5000 0.1660 0.0000
Pd 0.5000 0.8340 0.0000
Pd 0.6660 0.0000 0.5000
Pd 0.8340 0.5000 0.0000

(2)
Compound: PuAlTl
Source: Alexandria via LeMat-Bulk
Functional: GGA-PBE
Structure: relaxed

Properties
DOS(E_F) = 8.6 states/eV per cell
E_tot = -6.85 eV/atom
calculated formation energy = -0.041 eV/atom

Cell: 4.9216 4.9216 3.4184 Å, 90.00 90.00 120.00°
Atoms (fractional coordinates):
Pu 0.0000 0.0000 0.0000
Al 0.6667 0.3333 0.5000
Tl 0.3333 0.6667 0.5000

(3)
Compound: CrPtSe2
Source: Alexandria via LeMat-Bulk
Functional: GGA-PBE
Structure: relaxed

Properties
DOS(E_F) = 9.4 states/eV per cell
E_tot = -5.65 eV/atom
relative energy among the computed polymorphs = 299 meV/atom
formation energy (no corrections) = 0.008 eV per atom

Cell: 5.6250 7.3542 7.3711 Å, 90.00 90.00 90.00°
Atoms (fractional coordinates):
Cr 0.0000 0.0000 0.0000
Cr 0.0000 0.5000 0.5000
Cr 0.5000 0.0000 0.5000
Cr 0.5000 0.5000 0.0000
Pt 0.0000 0.0000 0.5000
Pt 0.0000 0.5000 0.0000
Pt 0.5000 0.0000 0.0000
Pt 0.5000 0.5000 0.5000
Se 0.0000 0.2500 0.2500
Se 0.0000 0.2500 0.7500
Se 0.0000 0.7500 0.2500
Se 0.0000 0.7500 0.7500
Se 0.5000 0.2500 0.2500
Se 0.5000 0.2500 0.7500
Se 0.5000 0.7500 0.2500
Se 0.5000 0.7500 0.7500

(4)
Compound: CdMo2Os2
Source: Alexandria via LeMat-Bulk
Functional: GGA-PBE
Structure: relaxed

Properties
DOS(E_F) = 6.1 states/eV per cell
E_tot = -8.80 eV/atom
relative energy among the computed polymorphs = 0 meV/atom
calculated formation energy = 0.205 eV/atom

Cell: 7.6706 7.6706 2.8457 Å, 90.00 90.00 90.00°
Atoms (fractional coordinates):
Cd 0.0000 0.0000 0.0000
Cd 0.5000 0.5000 0.0000
Mo 0.1623 0.3377 0.5000
Mo 0.3377 0.8377 0.5000
Mo 0.6623 0.1623 0.5000
Mo 0.8377 0.6623 0.5000
Os 0.1283 0.6283 0.0000
Os 0.3717 0.1283 0.0000
Os 0.6283 0.8717 0.0000
Os 0.8717 0.3717 0.0000

(5)
Compound: In4SiRh
Source: Alexandria via LeMat-Bulk
Functional: GGA-PBE
Structure: relaxed

Properties
DOS(E_F) = 2.7 states/eV per cell
E_tot = -3.32 eV/atom
formation energy (no corrections) = 0.638 eV per atom

Cell: 5.8044 5.8044 5.8044 Å, 60.00 60.00 60.00°
Atoms (fractional coordinates):
In 0.1249 0.1249 0.1249
In 0.1249 0.1249 0.6254
In 0.1249 0.6254 0.1249
In 0.6254 0.1249 0.1249
Si 0.5000 0.5000 0.5000
Rh 0.7500 0.7500 0.7500

(6)
Compound: CuNi2W
Source: Alexandria via LeMat-Bulk
Functional: GGA-PBE
Structure: relaxed

Properties
DOS(E_F) = 5.9 states/eV per cell
E_tot = -7.02 eV/atom
relative energy among the computed polymorphs = 119 meV/atom
calculated formation energy = 0.131 eV/atom

Cell: 5.3071 7.2270 2.6170 Å, 90.00 90.00 90.00°
Atoms (fractional coordinates):
Cu 0.0000 0.0000 0.0000
Cu 0.5000 0.5000 0.0000
Ni 0.2500 0.2500 0.5000
Ni 0.2500 0.7500 0.5000
Ni 0.7500 0.2500 0.5000
Ni 0.7500 0.7500 0.5000
W 0.0000 0.5000 0.0000
W 0.5000 0.0000 0.0000

(7)
Compound: ScCd3P
Source: Alexandria via LeMat-Bulk
Functional: GGA-PBE
Structure: relaxed

Properties
DOS(E_F) = 5.2 states/eV per cell
E_tot = -2.47 eV/atom
relative energy among the computed polymorphs = 0 meV/atom
calculated formation energy = 0.432 eV/atom

Cell: 5.0593 5.0593 5.0593 Å, 90.00 90.00 90.00°
Atoms (fractional coordinates):
Sc 0.0000 0.0000 0.0000
Cd 0.0000 0.5000 0.5000
Cd 0.5000 0.0000 0.5000
Cd 0.5000 0.5000 0.0000
P 0.5000 0.5000 0.5000

(8)
Compound: Ca2Sm
Source: Alexandria via LeMat-Bulk
Functional: GGA-PBE
Structure: relaxed

Properties
DOS(E_F) = 12.2 states/eV per cell
E_tot = -2.60 eV/atom
relative energy among the computed polymorphs = 213 meV/atom
calculated formation energy = 0.309 eV/atom

Cell: 6.9995 6.9995 6.9995 Å, 60.00 60.00 60.00°
Atoms (fractional coordinates):
Ca 0.0000 0.0000 0.0000
Ca 0.0000 0.0000 0.5000
Ca 0.0000 0.5000 0.0000
Ca 0.5000 0.0000 0.0000
Sm 0.3750 0.3750 0.3750
Sm 0.6250 0.6250 0.6250

(9)
Compound: Li4PaSe4
Source: Alexandria via LeMat-Bulk
Functional: GGA-PBE
Structure: relaxed

Properties
DOS(E_F) = 5.4 states/eV per cell
E_tot = -4.74 eV/atom
relative energy among the computed polymorphs = 0 meV/atom
formation energy (no corrections) = -1.287 eV per atom

Cell: 6.9542 6.9542 9.8515 Å, 123.67 123.67 33.92°
Atoms (fractional coordinates):
Li 0.1518 0.1518 0.3748
Li 0.2928 0.2928 0.1797
Li 0.7072 0.7072 0.8203
Li 0.8482 0.8482 0.6252
Pa 0.5000 0.5000 0.0000
Se 0.0805 0.0805 0.8747
Se 0.2636 0.2636 0.6931
Se 0.7364 0.7364 0.3069
Se 0.9195 0.9195 0.1253

(10)
Compound: TaMnNb2
Source: Alexandria via LeMat-Bulk
Functional: GGA-PBE
Structure: relaxed

Properties
DOS(E_F) = 2.8 states/eV per cell
E_tot = -10.33 eV/atom
relative energy among the computed polymorphs = 20 meV/atom
calculated formation energy = -0.035 eV/atom

Cell: 3.1770 3.1770 6.5114 Å, 90.00 90.00 90.00°
Atoms (fractional coordinates):
Ta 0.0000 0.0000 0.0000
Mn 0.0000 0.0000 0.5000
Nb 0.5000 0.5000 0.2674
Nb 0.5000 0.5000 0.7326

(11)
Compound: TlAuO
Source: Alexandria via LeMat-Bulk
Functional: GGA-PBE
Structure: relaxed

Properties
DOS(E_F) = 0.8 states/eV per cell
E_tot = -3.80 eV/atom
relative energy among the computed polymorphs = 10 meV/atom
formation energy (no corrections) = -0.265 eV per atom

Cell: 3.4969 13.1483 4.8244 Å, 90.00 90.00 90.00°
Atoms (fractional coordinates):
Tl 0.0000 0.1505 0.0000
Tl 0.0000 0.8495 0.5000
Tl 0.5000 0.3495 0.5000
Tl 0.5000 0.6505 0.0000
Au 0.0000 0.4462 0.0928
Au 0.0000 0.5538 0.5928
Au 0.5000 0.0538 0.5928
Au 0.5000 0.9462 0.0928
O 0.0000 0.3114 0.7974
O 0.0000 0.6886 0.2974
O 0.5000 0.1886 0.2974
O 0.5000 0.8114 0.7974

(12)
Compound: Sm3Mg
Source: Alexandria via LeMat-Bulk
Functional: GGA-PBE
Structure: relaxed

Properties
DOS(E_F) = 7.3 states/eV per cell
E_tot = -3.93 eV/atom
calculated formation energy = 0.009 eV/atom

Cell: 4.9902 4.9902 4.9902 Å, 90.00 90.00 90.00°
Atoms (fractional coordinates):
Sm 0.0000 0.0000 0.5000
Sm 0.0000 0.5000 0.0000
Sm 0.5000 0.0000 0.0000
Mg 0.5000 0.5000 0.5000